Compound: RbNiIO2
Source: Alexandria
Functional: PBE with a Hubbard U
Structure: optimized geometry

Output
Energy above the most stable polymorph in this dataset   0.000 eV per atom

Cell lengths 4.498, 4.498, 5.473 Å; angles 90.00, 90.00, 90.00 degrees
Sites, in units of the cell vectors:
Ni  0.000  0.000  0.000
I  0.000  0.000  0.500
O  0.500  0.000  0.000
O  0.000  0.500  0.000
Rb  0.500  0.500  0.500